MoWSe3S, optimized geometry, DFT PBE; M_tot = 0.0 μB/f.u.; crystal system = trigonal; polymorph energy (0 for the lowest one) = 17 meV per atom; energy relative to the elements, uncorrected = -63.89 kJ/mol of atoms; ρ = 6.263 g/cm³; energy = -7.06 eV/atom
1.0
1.6448 -2.8488 0.0000
1.6448 2.8488 0.0000
0.0000 0.0000 31.0491
Se W S Mo
6 2 2 2
Direct
0.0000 0.0000 0.1999 Se
0.3333 0.6667 0.5452 Se
0.0000 0.0000 0.7863 Se
0.3333 0.6667 0.4360 Se
0.0000 0.0000 0.3091 Se
0.0000 0.0000 0.6777 Se
0.3333 0.6667 0.2545 W
0.0000 0.0000 0.4906 W
0.3333 0.6667 0.9764 S
0.3333 0.6667 0.0752 S
0.0000 0.0000 0.0258 Mo
0.3333 0.6667 0.7320 Mo